HoScTlIr | GGA-PBE | relaxed

Cell lengths 3.276, 3.276, 8.163 Å; angles 90.00, 90.00, 90.00 degrees
Sites, in units of the cell vectors:
Ho: 0.000 0.000 0.000
Sc: 0.000 0.000 0.587
Tl: 0.500 0.500 0.305
Ir: 0.500 0.500 0.776

## Properties
Space group: No. 99
Volume, A^3/atom: 21.907
Energy relative to the elements, eV/f.u.: -2.52
Excess energy over the best structure of this formula in the dataset, meV per atom: 0.0